1.
VASP calculation (PBE-GGA) on an optimized crystal structure of HfZn2CuCl.

```
HfZn2CuCl
1.0
-2.075 3.740 1.586
-4.445 -2.027 -1.034
-0.131 -1.841 4.171
Cl Zn Hf Cu
1 2 1 1
direct
0.500 0.500 0.500 Cl
0.500 0.000 0.000 Zn
0.000 0.000 0.500 Zn
0.000 0.500 0.000 Hf
0.000 0.000 0.000 Cu
```

Computed properties:
Total moment = 0.0 μB per formula unit
Raw formation energy = 0.2084 eV/atom
Calculated density = 6.53 g cm⁻³

---

2.
VASP calculation (PBE-GGA) on an optimized crystal structure of CuHg2Cl.

```
CuHg2Cl
1.0
-2.787 0.803 -4.119
-4.970 -0.815 0.123
-3.195 3.891 -0.161
Cl Hg Cu
1 2 1
direct
0.500 0.500 0.500 Cl
0.250 0.250 0.250 Hg
0.000 0.000 0.000 Hg
0.750 0.750 0.750 Cu
```

Computed properties:
Total moment = 0.0 μB per formula unit
Raw formation energy = 0.2307 eV/atom
Energy above the lowest structure with this stoichiometry = 387.1 meV per atom
Calculated density = 9.19 g cm⁻³

---

3.
VASP calculation (PBE-GGA) on an optimized crystal structure of CuHg2Cl.

```
CuHg2Cl
1.0
-3.324 -1.300 0.624
2.537 -2.321 -1.143
2.312 -1.746 8.675
Hg Cl Cu
2 1 1
direct
0.500 0.500 0.246 Hg
0.000 0.000 0.948 Hg
0.000 0.000 0.586 Cl
0.500 0.500 0.721 Cu
```

Computed properties:
Total moment = 0.0 μB per formula unit
Raw formation energy = -0.0947 eV/atom
Energy above the lowest structure with this stoichiometry = 61.8 meV per atom
Calculated density = 7.82 g cm⁻³

---

4.
VASP calculation (PBE-GGA) on an optimized crystal structure of Cu3Hg5Cl12.

```
Cu3Hg5Cl12
1.0
14.182 0.000 0.000
-4.727 13.371 0.000
-4.727 -6.686 11.580
Cl Cu Hg
48 12 20
direct
0.015 0.695 0.140 Cl
0.695 0.680 0.555 Cl
0.125 0.640 0.945 Cl
0.640 0.125 0.445 Cl
0.515 0.875 0.820 Cl
0.875 0.515 0.320 Cl
0.195 0.055 0.180 Cl
0.445 0.625 0.640 Cl
0.125 0.485 0.680 Cl
0.485 0.125 0.180 Cl
0.320 0.305 0.945 Cl
0.305 0.985 0.360 Cl
0.945 0.140 0.125 Cl
0.945 0.805 0.320 Cl
0.055 0.860 0.875 Cl
0.485 0.360 0.805 Cl
0.860 0.805 0.985 Cl
0.860 0.055 0.375 Cl
0.515 0.640 0.195 Cl
0.985 0.680 0.625 Cl
0.555 0.375 0.360 Cl
0.375 0.820 0.015 Cl
0.360 0.485 0.305 Cl
0.805 0.860 0.485 Cl
0.985 0.305 0.860 Cl
0.680 0.985 0.125 Cl
0.055 0.195 0.680 Cl
0.640 0.515 0.695 Cl
0.180 0.625 0.485 Cl
0.820 0.445 0.805 Cl
0.875 0.360 0.055 Cl
0.140 0.195 0.015 Cl
0.625 0.180 0.985 Cl
0.695 0.015 0.640 Cl
0.555 0.180 0.695 Cl
0.805 0.945 0.820 Cl
0.195 0.140 0.515 Cl
0.320 0.015 0.875 Cl
0.625 0.445 0.140 Cl
0.140 0.945 0.625 Cl
0.305 0.320 0.445 Cl
0.015 0.320 0.375 Cl
0.445 0.820 0.305 Cl
0.820 0.375 0.515 Cl
0.375 0.555 0.860 Cl
0.360 0.875 0.555 Cl
0.180 0.555 0.195 Cl
0.680 0.695 0.055 Cl
0.125 0.250 0.875 Cu
0.875 0.750 0.125 Cu
0.375 0.750 0.625 Cu
0.750 0.375 0.125 Cu
0.625 0.375 0.750 Cu
0.250 0.125 0.375 Cu
0.625 0.250 0.375 Cu
0.875 0.125 0.250 Cu
0.750 0.875 0.625 Cu
0.375 0.625 0.250 Cu
0.250 0.625 0.875 Cu
0.125 0.875 0.750 Cu
0.000 0.000 0.000 Hg
0.125 0.375 0.250 Hg
0.625 0.750 0.875 Hg
0.500 0.000 0.000 Hg
0.500 0.500 0.500 Hg
0.000 0.000 0.500 Hg
0.250 0.875 0.125 Hg
0.875 0.250 0.625 Hg
0.625 0.875 0.250 Hg
0.375 0.250 0.125 Hg
0.750 0.625 0.375 Hg
0.875 0.625 0.750 Hg
0.750 0.125 0.875 Hg
0.375 0.125 0.750 Hg
0.250 0.375 0.625 Hg
0.500 0.000 0.500 Hg
0.000 0.500 0.000 Hg
0.000 0.500 0.500 Hg
0.125 0.750 0.375 Hg
0.500 0.500 0.000 Hg
```

Computed properties:
Total moment = 0.0 μB per formula unit
Raw formation energy = -0.4002 eV/atom
Calculated density = 4.90 g cm⁻³

---

5.
VASP calculation (PBE-GGA) on an optimized crystal structure of Cu2HgCl.

```
Cu2HgCl
1.0
6.628 0.096 -0.002
4.574 4.798 0.002
-5.440 -2.817 2.534
Hg Cu Cl
1 2 1
direct
0.489 0.489 0.000 Hg
0.809 0.309 0.500 Cu
0.966 0.966 0.000 Cu
0.236 0.736 0.500 Cl
```

Computed properties:
Total moment = 0.0 μB per formula unit
Raw formation energy = 0.0994 eV/atom
Energy above the lowest structure with this stoichiometry = 209.1 meV per atom
Calculated density = 7.59 g cm⁻³

---

6.
VASP calculation (PBE-GGA) on an optimized crystal structure of CuHg2Cl.

```
CuHg2Cl
1.0
1.923 -3.885 2.612
-0.125 0.044 5.059
-3.083 -3.154 2.483
Cu Hg Cl
1 2 1
direct
0.500 0.500 0.500 Cu
0.250 0.250 0.250 Hg
0.750 0.750 0.750 Hg
0.000 0.000 0.000 Cl
```

Computed properties:
Total moment = 0.0 μB per formula unit
Raw formation energy = 0.3187 eV/atom
Energy above the lowest structure with this stoichiometry = 475.1 meV per atom
Calculated density = 9.06 g cm⁻³